Entry 1:
The following is a GGA-PBE calculation of a relaxed SrRhBr6 crystal, from Alexandria.

The structure in CIF format:
```
data_SrRhBr6
_chemical_formula_sum 'Sr1 Rh1 Br6'
_cell_length_a 6.834
_cell_length_b 6.842
_cell_length_c 7.286
_cell_angle_alpha 62.09
_cell_angle_beta 62.10
_cell_angle_gamma 60.05
_symmetry_space_group_name_H-M 'P -1'
_symmetry_Int_Tables_number 2
_symmetry_space_group_name_Hall '-P 1'
loop_
_atom_site_label
_atom_site_fract_x
_atom_site_fract_y
_atom_site_fract_z
_atom_site_occupancy
Sr1 0.000 0.000 0.000 1
Rh1 0.500 0.500 0.500 1
Br1 0.099 0.698 0.730 1
Br2 0.302 0.526 0.270 1
Br3 0.473 0.100 0.730 1
```

Calculated values
As for the density of states at the Fermi level: 8.57 states/eV per cell. Its total moment is 0.007 μB per formula unit. For the raw total energy, the calculation gives -26.07 eV for the cell shown.

=====

Entry 2:
The following is a GGA-PBE calculation of a relaxed SrRhBr3 crystal, from Alexandria.

The structure in CIF format:
```
data_SrRhBr3
_chemical_formula_sum 'Sr1 Rh1 Br3'
_cell_length_a 5.890
_cell_length_b 5.890
_cell_length_c 5.890
_cell_angle_alpha 90.00
_cell_angle_beta 90.00
_cell_angle_gamma 90.00
_symmetry_space_group_name_H-M 'P m -3 m'
_symmetry_Int_Tables_number 221
_symmetry_space_group_name_Hall '-P 4 2 3'
loop_
_atom_site_label
_atom_site_fract_x
_atom_site_fract_y
_atom_site_fract_z
_atom_site_occupancy
Sr1 0.000 0.000 0.000 1
Rh1 0.500 0.500 0.500 1
Br1 0.000 0.000 0.500 1
```

Calculated values
The calculation puts the energy above the most stable polymorph in this dataset at 574 meV/atom. As for the density of states at the Fermi level: 8.70 states/eV per cell. Its total moment is 2.000 μB per formula unit. For the raw total energy, the calculation gives -15.77 eV for the cell shown.

=====

Entry 3:
The following is a GGA-PBE calculation of a relaxed SrRhBr crystal, from Alexandria.

The structure in CIF format:
```
data_SrRhBr
_chemical_formula_sum 'Sr4 Rh4 Br4'
_cell_length_a 7.112
_cell_length_b 7.112
_cell_length_c 7.112
_cell_angle_alpha 90.00
_cell_angle_beta 90.00
_cell_angle_gamma 90.00
_symmetry_space_group_name_H-M 'F -4 3 m'
_symmetry_Int_Tables_number 216
_symmetry_space_group_name_Hall 'F -4 2 3'
loop_
_atom_site_label
_atom_site_fract_x
_atom_site_fract_y
_atom_site_fract_z
_atom_site_occupancy
Sr1 0.000 0.000 0.000 1
Rh1 0.250 0.250 0.250 1
Br1 0.250 0.250 0.750 1
```

Calculated values
The calculation puts the energy above the most stable polymorph in this dataset at 1036 meV/atom. As for the density of states at the Fermi level: 17.80 states/eV per cell. Its total moment is 0.656 μB per formula unit. For the raw total energy, the calculation gives -42.67 eV for the cell shown.

=====

Entry 4:
The following is a GGA-PBE calculation of a relaxed Sr4RhBr5 crystal, from Alexandria.

The structure in CIF format:
```
data_Sr4RhBr5
_chemical_formula_sum 'Sr8 Rh2 Br10'
_cell_length_a 19.340
_cell_length_b 4.443
_cell_length_c 8.847
_cell_angle_alpha 90.00
_cell_angle_beta 105.80
_cell_angle_gamma 90.00
_symmetry_space_group_name_H-M 'C 1 2/m 1'
_symmetry_Int_Tables_number 12
_symmetry_space_group_name_Hall '-C 2y'
loop_
_atom_site_label
_atom_site_fract_x
_atom_site_fract_y
_atom_site_fract_z
_atom_site_occupancy
Sr1 0.000 0.000 0.237 1
Sr2 0.160 0.500 0.106 1
Rh1 0.000 0.500 0.000 1
Br1 0.000 0.500 0.500 1
Br2 0.166 0.000 0.344 1
Br3 0.170 0.000 0.862 1
```

Calculated values
Its total moment is 0.000 μB per formula unit. For the raw total energy, the calculation gives -77.29 eV for the cell shown.

=====

For reference, energy relative to the elements, uncorrected by record: -0.87 -0.34 0.01 -1.62 eV per atom.